[1]
Density functional theory data (PBE-GGA) for an optimized crystal structure of Nd2ErTm.

**Size of the total moment**: 0.0 Bohr magnetons per cell
**Raw total energy**: -4.62 eV/atom
**Calculated density**: 7.83 Mg/m³
**Energy of formation from the pure elements**: 7.1 kJ/mol of formula units

```
8
Lattice="3.666 -6.275 0.000 3.666 6.275 0.000 0.000 0.000 5.755" Properties=species:S:1:pos:R:3 pbc="T T T"
Nd 1.832 2.077 1.439
Nd 1.832 -2.077 4.316
Nd 5.500 2.077 1.439
Nd 5.500 -2.077 4.316
Er 3.666 5.242 1.439
Er 3.666 -5.242 4.316
Tm 3.666 1.034 4.316
Tm 3.666 -1.034 1.439
```

=====

[2]
Density functional theory data (PBE-GGA) for an optimized crystal structure of Nd5ErTm6.

**Size of the total moment**: 0.0 Bohr magnetons per cell
**Raw total energy**: -4.58 eV/atom
**Calculated density**: 8.19 Mg/m³
**Energy of formation from the pure elements**: 26.1 kJ/mol of formula units

```
12
Lattice="-2.538 4.993 7.610 2.538 -4.993 7.610 2.538 4.993 -7.610" Properties=species:S:1:pos:R:3 pbc="T T T"
Nd 0.000 0.000 0.000
Nd 2.538 0.000 2.539
Nd 0.000 0.000 5.103
Nd 0.000 0.000 10.116
Nd 0.000 4.993 5.071
Er 0.000 4.993 0.000
Tm 2.538 -2.489 5.080
Tm 2.538 2.511 0.000
Tm 0.000 2.504 2.530
Tm 2.538 2.489 5.080
Tm 0.000 2.482 7.610
Tm 0.000 7.482 2.530
```

=====

[3]
Density functional theory data (PBE-GGA) for an optimized crystal structure of NdEr8Tm2.

**Size of the total moment**: 0.0 Bohr magnetons per cell
**Raw total energy**: -4.46 eV/atom
**Calculated density**: 8.78 Mg/m³
**Energy of formation from the pure elements**: 106.2 kJ/mol of formula units

```
11
Lattice="8.617 -2.692 0.000 8.617 2.692 0.000 -3.668 0.000 7.419" Properties=species:S:1:pos:R:3 pbc="T T T"
Nd 0.000 0.000 0.000
Er 0.420 0.000 3.293
Er -0.395 0.000 6.630
Er 2.923 0.000 5.941
Er 7.272 0.000 2.065
Er 6.295 0.000 5.354
Er 10.644 0.000 1.478
Er 13.962 0.000 0.789
Er 13.146 0.000 4.125
Tm 3.875 0.000 2.536
Tm 9.692 0.000 4.882
```

=====

[4]
Density functional theory data (PBE-GGA) for an optimized crystal structure of Nd7Er3Tm.

**Size of the total moment**: 0.0 Bohr magnetons per cell
**Raw total energy**: -4.57 eV/atom
**Calculated density**: 7.38 Mg/m³
**Energy of formation from the pure elements**: 122.7 kJ/mol of formula units

```
22
Lattice="3.541 -9.549 0.000 3.541 9.549 0.000 -0.006 0.000 11.189" Properties=species:S:1:pos:R:3 pbc="T T T"
Nd 3.536 7.821 0.499
Nd 3.543 7.821 5.096
Nd 3.537 6.489 8.392
Nd 3.540 3.835 2.797
Nd 3.537 3.100 8.392
Nd 3.533 1.628 5.398
Nd 3.546 1.628 0.196
Nd 3.530 -1.628 10.993
Nd 3.543 -1.628 5.791
Nd 3.540 -3.100 2.797
Nd 3.537 -3.835 8.392
Nd 3.540 -6.489 2.797
Nd 3.533 -7.821 6.093
Nd 3.540 -7.821 10.691
Er 1.771 4.774 0.000
Er 1.821 0.178 2.795
Er 1.819 -0.178 8.389
Er 1.768 -4.774 5.595
Er 5.258 0.178 2.800
Er 5.255 -0.178 8.395
Tm 1.768 4.774 5.595
Tm 1.771 -4.774 0.000
```

=====

[5]
Density functional theory data (PBE-GGA) for an optimized crystal structure of Nd2ErTm2.

**Size of the total moment**: 0.0 Bohr magnetons per cell
**Raw total energy**: -4.47 eV/atom
**Calculated density**: 8.09 Mg/m³
**Energy of formation from the pure elements**: 65.0 kJ/mol of formula units

```
10
Lattice="-1.823 2.838 15.753 1.823 -2.838 15.753 1.823 2.838 -15.753" Properties=species:S:1:pos:R:3 pbc="T T T"
Nd 0.000 1.419 0.726
Nd 0.000 1.419 3.875
Nd 1.823 1.419 11.878
Nd 1.823 1.419 15.027
Er 1.823 1.419 -2.578
Er 0.000 1.419 18.331
Tm 1.823 -1.419 9.522
Tm 1.823 1.419 6.610
Tm 0.000 1.419 9.143
Tm 0.000 4.257 6.231
```

=====

[6]
Density functional theory data (PBE-GGA) for an optimized crystal structure of Nd2ErTm5.

**Size of the total moment**: 0.0 Bohr magnetons per cell
**Raw total energy**: -4.39 eV/atom
**Calculated density**: 8.54 Mg/m³
**Energy of formation from the pure elements**: 131.3 kJ/mol of formula units

```
16
Lattice="8.027 -4.898 0.000 8.027 4.898 0.000 -1.107 0.000 6.430" Properties=species:S:1:pos:R:3 pbc="T T T"
Nd 5.766 2.507 5.652
Nd 8.628 2.507 3.993
Nd 6.320 -2.507 2.437
Nd 9.181 -2.507 0.778
Er 4.014 2.449 0.000
Er 3.460 -2.449 3.215
Tm 0.903 0.882 4.174
Tm 1.456 -0.882 0.959
Tm 4.312 0.847 3.028
Tm 3.758 -0.847 6.243
Tm 7.750 0.578 1.608
Tm 7.197 -0.578 4.823
Tm 11.189 0.847 0.187
Tm 10.636 -0.847 3.402
Tm 13.491 0.882 5.471
Tm 14.045 -0.882 2.256
```

=====

[7]
Density functional theory data (PBE-GGA) for an optimized crystal structure of NdEr2Tm.

**Size of the total moment**: 0.0 Bohr magnetons per cell
**Raw total energy**: -4.57 eV/atom
**Calculated density**: 8.42 Mg/m³
**Energy of formation from the pure elements**: 6.4 kJ/mol of formula units

```
4
Lattice="-1.814 5.645 3.120 1.814 -5.645 3.120 1.814 5.645 -3.120" Properties=species:S:1:pos:R:3 pbc="T T T"
Nd 0.000 0.000 0.000
Er 1.814 2.852 1.011
Er 0.000 2.793 4.131
Tm 1.814 0.000 3.094
```

=====

[8]
Density functional theory data (PBE-GGA) for an optimized crystal structure of Nd3ErTm4.

**Size of the total moment**: 0.0 Bohr magnetons per cell
**Raw total energy**: -4.46 eV/atom
**Calculated density**: 8.12 Mg/m³
**Energy of formation from the pure elements**: 107.2 kJ/mol of formula units

```
8
Lattice="-1.737 5.807 6.465 1.737 -5.807 6.465 1.737 5.807 -6.465" Properties=species:S:1:pos:R:3 pbc="T T T"
Nd 0.000 0.000 0.000
Nd 1.737 0.000 3.307
Nd 0.000 5.807 3.158
Er 0.000 0.000 6.465
Tm 1.737 2.968 -1.748
Tm 1.737 2.968 1.748
Tm 0.000 2.839 4.718
Tm 0.000 2.839 8.213
```

=====

[9]
Density functional theory data (PBE-GGA) for an optimized crystal structure of Nd5Er2Tm3.

**Size of the total moment**: 0.0 Bohr magnetons per cell
**Raw total energy**: -4.46 eV/atom
**Calculated density**: 7.75 Mg/m³
**Energy of formation from the pure elements**: 173.5 kJ/mol of formula units

```
20
Lattice="5.332 -7.437 0.000 5.332 7.437 0.000 -5.332 0.000 8.439" Properties=species:S:1:pos:R:3 pbc="T T T"
Nd 1.333 7.146 6.329
Nd -1.346 1.952 6.399
Nd 1.333 4.032 6.329
Nd 1.320 -1.952 2.180
Nd 3.999 0.316 2.110
Nd 1.333 -0.316 6.329
Nd 4.013 1.952 6.259
Nd 3.999 -4.032 2.110
Nd 6.678 -1.952 2.040
Nd 3.999 -7.146 2.110
Er 1.316 1.925 0.481
Er -1.350 -1.925 4.700
Er 6.683 1.925 3.739
Er 4.017 -1.925 7.958
Tm 1.325 1.868 3.731
Tm 3.999 3.370 2.110
Tm -1.341 -1.868 7.950
Tm 6.674 1.868 0.489
Tm 1.333 -3.370 6.329
Tm 4.008 -1.868 4.708
```

=====

[10]
Density functional theory data (PBE-GGA) for an optimized crystal structure of NdEr3Tm4.

**Size of the total moment**: 0.0 Bohr magnetons per cell
**Raw total energy**: -4.54 eV/atom
**Calculated density**: 8.80 Mg/m³
**Energy of formation from the pure elements**: 2.6 kJ/mol of formula units

```
16
Lattice="11.150 0.000 0.000 0.000 7.200 0.000 0.000 0.000 6.215" Properties=species:S:1:pos:R:3 pbc="T T T"
Nd 0.000 0.910 0.000
Nd 5.575 6.290 3.107
Er 0.000 6.287 3.104
Er 2.788 0.913 2.078
Er 2.786 6.287 5.185
Er 5.575 0.913 6.211
Er 8.361 0.913 2.078
Er 8.363 6.287 5.185
Tm 0.000 2.713 3.116
Tm 0.000 4.489 0.002
Tm 2.765 4.487 2.076
Tm 2.809 2.713 5.184
Tm 5.575 2.711 3.110
Tm 5.575 4.487 0.008
Tm 8.340 2.713 5.184
Tm 8.384 4.487 2.076
```

=====

[11]
Density functional theory data (PBE-GGA) for an optimized crystal structure of Nd2Er6Tm3.

**Size of the total moment**: 0.0 Bohr magnetons per cell
**Raw total energy**: -4.30 eV/atom
**Calculated density**: 8.21 Mg/m³
**Energy of formation from the pure elements**: 294.5 kJ/mol of formula units

```
11
Lattice="-2.350 2.350 16.468 2.350 -2.350 16.468 2.350 2.350 -16.468" Properties=species:S:1:pos:R:3 pbc="T T T"
Nd 0.000 0.000 1.526
Nd 0.000 0.000 31.410
Er 2.350 0.000 4.042
Er 0.000 0.000 6.449
Er 2.350 0.000 12.426
Er 0.000 2.350 4.042
Er 0.000 0.000 26.487
Er 0.000 2.350 12.426
Tm 0.000 0.000 9.843
Tm 0.000 0.000 16.468
Tm 0.000 0.000 23.093
```

=====

[12]
Density functional theory data (PBE-GGA) for an optimized crystal structure of Nd4ErTm6.

**Size of the total moment**: 0.0 Bohr magnetons per cell
**Raw total energy**: -4.29 eV/atom
**Calculated density**: 7.87 Mg/m³
**Energy of formation from the pure elements**: 313.7 kJ/mol of formula units

```
11
Lattice="-3.310 3.310 8.459 3.310 -3.310 8.459 3.310 3.310 -8.459" Properties=species:S:1:pos:R:3 pbc="T T T"
Nd 2.056 2.056 -2.968
Nd 1.254 -1.254 11.427
Nd 1.254 1.254 5.491
Nd -1.254 1.254 11.427
Er 0.000 0.000 8.459
Tm 3.310 0.000 0.000
Tm 2.132 -2.132 6.360
Tm 1.178 1.178 2.099
Tm 0.000 3.310 0.000
Tm -2.132 2.132 6.360
Tm 2.132 2.132 10.558
```

=====

Q: Look up the size of the total moment of the eighth one.
A: 0.0 Bohr magnetons per cell

=====

Copy entry 5 word for word.
Density functional theory data (PBE-GGA) for an optimized crystal structure of Nd2ErTm2.

**Size of the total moment**: 0.0 Bohr magnetons per cell
**Raw total energy**: -4.47 eV/atom
**Calculated density**: 8.09 Mg/m³
**Energy of formation from the pure elements**: 65.0 kJ/mol of formula units

```
10
Lattice="-1.823 2.838 15.753 1.823 -2.838 15.753 1.823 2.838 -15.753" Properties=species:S:1:pos:R:3 pbc="T T T"
Nd 0.000 1.419 0.726
Nd 0.000 1.419 3.875
Nd 1.823 1.419 11.878
Nd 1.823 1.419 15.027
Er 1.823 1.419 -2.578
Er 0.000 1.419 18.331
Tm 1.823 -1.419 9.522
Tm 1.823 1.419 6.610
Tm 0.000 1.419 9.143
Tm 0.000 4.257 6.231
```

=====

Q: Which formula does entry 1 have?
A: Nd2ErTm